PaV2FeO8 after structural relaxation, computed with GGA+U.

Results
Calculated total energy: -7.959 eV per atom
Space-group type: No. 164

Unit cell a=5.890 b=5.890 c=5.917 alpha=90.00 beta=90.00 gamma=120.00
Element x y z (fractional)
Pa: 0.000 0.000 0.000
V: 0.333 0.667 0.660
V: 0.667 0.333 0.340
Fe: 0.000 0.000 0.500
O: 0.161 0.322 0.752
O: 0.161 0.839 0.752
O: 0.322 0.161 0.248
O: 0.333 0.667 0.385
O: 0.667 0.333 0.615
O: 0.678 0.839 0.752
O: 0.839 0.161 0.248
O: 0.839 0.678 0.248

PaV2FeO6 after structural relaxation, computed with GGA+U.

Results
Calculated total energy: -8.329 eV per atom
Space-group type: No. 1

Unit cell a=5.446 b=5.468 c=5.672 alpha=117.48 beta=90.80 gamma=119.75
Element x y z (fractional)
Pa: 0.000 0.000 0.000
V: 0.204 0.415 0.621
V: 0.699 0.410 0.115
Fe: 0.490 0.994 0.498
O: 0.092 0.904 0.324
O: 0.316 0.911 0.828
O: 0.424 0.506 0.314
O: 0.592 0.510 0.835
O: 0.812 0.236 0.310
O: 0.898 0.237 0.825

Pa2VFeO8 after structural relaxation, computed with GGA+U.

Results
Calculated total energy: -8.749 eV per atom
Space-group type: No. 12

Unit cell a=4.733 b=4.733 c=7.132 alpha=90.03 beta=90.03 gamma=91.29
Element x y z (fractional)
Pa: 0.001 0.001 0.249
Pa: 0.999 0.999 0.751
V: 0.500 0.500 0.500
Fe: 0.500 0.500 0.000
O: 0.197 0.197 0.999
O: 0.212 0.212 0.501
O: 0.308 0.690 0.280
O: 0.310 0.692 0.720
O: 0.690 0.308 0.280
O: 0.692 0.310 0.720
O: 0.788 0.788 0.499
O: 0.803 0.803 0.001

YPaFe2O6 after structural relaxation, computed with GGA+U.

Results
Calculated total energy: -8.299 eV per atom
Space-group type: No. 12

Unit cell a=5.836 b=5.836 c=5.483 alpha=117.69 beta=117.69 gamma=62.31
Element x y z (fractional)
Y: 0.000 0.000 0.000
Pa: 0.500 0.500 0.500
Fe: 0.250 0.250 0.803
Fe: 0.750 0.750 0.197
O: 0.156 0.650 0.161
O: 0.260 0.260 0.452
O: 0.350 0.844 0.839
O: 0.650 0.156 0.161
O: 0.740 0.740 0.548
O: 0.844 0.350 0.839

PaZnFe2O8 after structural relaxation, computed with GGA+U.

Results
Calculated total energy: -6.695 eV per atom
Space-group type: No. 119

Unit cell a=5.878 b=5.878 c=5.878 alpha=108.03 beta=108.03 gamma=112.39
Element x y z (fractional)
Pa: 0.000 0.000 0.000
Zn: 0.250 0.750 0.500
Fe: 0.500 0.500 0.000
Fe: 0.750 0.250 0.500
O: 0.314 0.131 0.817
O: 0.314 0.497 0.183
O: 0.362 0.054 0.308
O: 0.503 0.686 0.817
O: 0.746 0.054 0.692
O: 0.869 0.686 0.183
O: 0.946 0.254 0.308
O: 0.946 0.638 0.692

Pa2ZnFeO8 after structural relaxation, computed with GGA+U.

Results
Calculated total energy: -7.880 eV per atom
Space-group type: No. 12

Unit cell a=4.657 b=4.657 c=7.150 alpha=90.54 beta=90.54 gamma=92.28
Element x y z (fractional)
Pa: 0.017 0.017 0.252
Pa: 0.983 0.983 0.748
Zn: 0.500 0.500 0.000
Fe: 0.500 0.500 0.500
O: 0.200 0.200 0.989
O: 0.209 0.209 0.510
O: 0.295 0.674 0.282
O: 0.326 0.705 0.718
O: 0.674 0.295 0.282
O: 0.705 0.326 0.718
O: 0.791 0.791 0.490
O: 0.800 0.800 0.011